1.
The following is a DFT calculation (GGA-PBEsol) of RbMnRe2 after structural relaxation.

Geometry as POSCAR:
```
RbMnRe2
1.0
4.4617 0.0000 0.0000
2.2309 3.8639 0.0000
2.2309 1.2880 3.6430
Re Mn Rb
2 1 1
Cartesian
2.2309 1.2880 0.9107
6.6926 3.8639 2.7322
0.0000 0.0000 0.0000
4.4617 2.5760 1.8215
```

Results
D(E_F): 3.76 states/eV per cell
E_form: 8.33 eV per formula unit

2.
The following is a DFT calculation (GGA-PBEsol) of RbMnReTc2 after structural relaxation.

Geometry as POSCAR:
```
RbMnReTc2
1.0
4.6809 0.0000 0.0000
0.0000 4.6809 0.0000
0.0000 0.0000 5.4704
Re Mn Tc Rb
1 1 2 1
Cartesian
0.0000 0.0000 0.0000
2.3404 2.3404 2.7352
0.0000 2.3404 0.0000
2.3404 0.0000 0.0000
0.0000 0.0000 2.7352
```

Results
D(E_F): 5.50 states/eV per cell
E_form: 11.46 eV per formula unit

3.
The following is a DFT calculation (GGA-PBEsol) of Rb2MnTe2S6 after structural relaxation.

Geometry as POSCAR:
```
Rb2MnTe2S6
1.0
6.7408 0.0000 0.0000
-3.3704 5.8377 0.0000
0.0000 0.0000 15.3084
Rb Mn Te S
4 2 4 12
Cartesian
3.3704 1.9459 3.4866
0.0000 3.8918 11.8218
0.0000 3.8918 4.1676
3.3704 1.9459 11.1409
0.0000 0.0000 7.6542
0.0000 0.0000 0.0000
3.3704 1.9459 7.3609
0.0000 3.8918 7.9476
0.0000 3.8918 0.2934
3.3704 1.9459 15.0151
5.4457 1.5993 6.1614
-2.0752 4.2384 9.1471
2.0327 0.3220 6.1614
2.0752 4.2384 1.4928
1.3378 5.5158 9.1471
1.2952 1.5993 13.8156
2.6329 3.9164 6.1614
-1.3378 5.5158 1.4928
0.7375 1.9213 9.1471
4.7082 0.3220 13.8156
-0.7375 1.9213 1.4928
4.1079 3.9164 13.8156
```

Results
Energy relative to the elements, uncorrected: -479 meV/atom

4.
The following is a DFT calculation (GGA-PBEsol) of RbMn3Sb after structural relaxation.

Geometry as POSCAR:
```
RbMn3Sb
1.0
4.8483 0.0000 0.0000
0.0000 4.8483 0.0000
0.0000 0.0000 4.8483
Sb Mn Rb
1 3 1
Cartesian
2.4241 2.4241 2.4241
0.0000 2.4241 0.0000
0.0000 0.0000 2.4241
2.4241 0.0000 0.0000
0.0000 0.0000 0.0000
```

Results
D(E_F): 3.49 states/eV per cell
Energy relative to the elements, uncorrected: 2280 meV/atom

5.
The following is a DFT calculation (GGA-PBEsol) of RbMnSb after structural relaxation.

Geometry as POSCAR:
```
RbMnSb
1.0
-0.5371 -4.5453 0.7691
2.9031 -0.9350 -3.4983
6.5161 0.1387 5.3703
Rb Mn Sb
2 2 2
Cartesian
3.9944 -2.1819 3.8979
3.7047 -0.4195 0.1078
1.1830 -2.7402 -1.3646
0.0000 0.0000 0.0000
0.8359 -2.2492 1.2948
6.8632 -0.3523 2.7109
```

Results
D(E_F): 4.72 states/eV per cell
Energy relative to the elements, uncorrected: -12 meV/atom

6.
The following is a DFT calculation (GGA-PBEsol) of RbMnSe2 after structural relaxation.

Geometry as POSCAR:
```
RbMnSe2
1.0
-0.6405 -1.7395 3.4791
3.8817 -0.5120 0.4586
-1.1830 7.2657 1.1816
Rb Mn Se
1 1 2
Cartesian
0.0000 0.0000 0.0000
-0.1014 2.2003 3.3148
0.3055 4.2864 2.1993
1.7527 0.7279 2.9199
```

Results
D(E_F): 1.94 states/eV per cell
Energy relative to the elements, uncorrected: -597 meV/atom

7.
The following is a DFT calculation (GGA-PBEsol) of RbMn2Se2 after structural relaxation.

Geometry as POSCAR:
```
RbMn2Se2
1.0
-0.8393 -3.4779 -0.8759
-0.3264 -0.8218 3.5756
-6.5624 3.9351 -1.5918
Mn Se Rb
2 2 1
Cartesian
-3.7358 0.4817 1.6668
-3.9923 -0.8463 -0.5589
-5.0437 1.2602 -0.1708
-2.6843 -1.6248 1.2787
0.0000 0.0000 0.0000
```

Results
D(E_F): 2.85 states/eV per cell
Energy relative to the elements, uncorrected: -483 meV/atom

8.
The following is a DFT calculation (GGA-PBEsol) of RbMnSe2 after structural relaxation.

Geometry as POSCAR:
```
RbMnSe2
1.0
6.6585 0.2621 -0.3981
-2.6496 6.1143 0.3981
2.6496 2.7825 5.4589
Mn Se Rb
2 4 2
Cartesian
0.0000 4.4484 2.9285
3.3293 6.8036 4.1937
6.8904 2.3405 2.3278
1.0929 5.9855 4.3964
4.4222 4.8477 3.3621
0.9115 5.1441 0.8316
0.0000 0.0000 0.0000
3.3293 2.3552 1.2652
```

Results
D(E_F): 3.93 states/eV per cell
Energy relative to the elements, uncorrected: -624 meV/atom

Sequential V output: 63 120 602 114 182 107 100 228 Å³ per cell
Sequential total energy output: -7.28 -7.04 -4.59 -4.69 -5.13 -5.22 -6.13 -5.25 eV per atom